VASP calculation (PBE-GGA) on a relaxed AcNd8Tl6 crystal.

Calculated values
Fermi-level density of states   1.61 states/eV/atom
E_form   -162.2 meV per atom
Volume   519 Å³/f.u.

abc: 9.5216 9.5216 8.5936
angles: 56.36 56.36 60.00
With the nearest neighbours (Å) after each atom.
Element x y z (fractional)
Nd1 0.1121 0.4417 0.6664  5 Tl 3.21-3.39
Nd2 0.4417 0.7798 0.6664  5 Tl 3.21-3.39
Nd3 0.2202 0.8879 0.3336  5 Tl 3.21-3.39
Nd4 0.5583 0.2202 0.3336  5 Tl 3.21-3.39
Nd5 0.8879 0.5583 0.3336  5 Tl 3.21-3.39
Nd6 0.6684 0.6684 0.9948  6 Tl 3.34-3.36
Nd7 0.3316 0.3316 0.0052  6 Tl 3.34-3.36
Nd8 0.7798 0.1121 0.6664  5 Tl 3.21-3.39
Tl1 0.5978 0.9392 0.1799  7 Nd 3.21-3.39, 1 Ac 3.47
Tl2 0.9392 0.2830 0.1799  7 Nd 3.21-3.39, 1 Ac 3.47
Tl3 0.0608 0.7170 0.8201  7 Nd 3.21-3.39, 1 Ac 3.47
Tl4 0.7170 0.4022 0.8201  7 Nd 3.21-3.39, 1 Ac 3.47
Tl5 0.2830 0.5978 0.1799  7 Nd 3.21-3.39, 1 Ac 3.47
Tl6 0.4022 0.0608 0.8201  7 Nd 3.21-3.39, 1 Ac 3.47
Ac1 0.0000 0.0000 0.0000  6 Tl 3.47, 6 Nd 3.85